(a)
This record from the Alexandria database describes a crystal of MnNiAs2 relaxed with PBEsol. The functional is SCAN.

It has space group R-3m (No. 166, hexagonal axes), with a = 2.8870 Å, b = 2.8870 Å, c = 21.6749 Å, α = 90.00°, β = 90.00° and γ = 120.00°. Symmetry generates all atoms from Mn at (0.0000, 0.0000, 0.0000), Ni at (0.0000, 0.0000, 0.5000) and As at (0.0000, 0.0000, 0.2526).

The value obtained for the volume is 156 Å³ per cell.

***

(b)
This record from the Alexandria database describes a crystal of MnNiAs2 relaxed with PBEsol. The functional is SCAN.

It has space group Imm2 (No. 44), with a = 2.784 Å, b = 3.589 Å, c = 11.526 Å, α = 90.00°, β = 90.00° and γ = 90.00°. Symmetry generates all atoms from Mn at (0.000, 0.000, 0.000), Ni at (0.000, 0.500, 0.711), As at (0.000, 0.000, 0.393) and As at (0.000, 0.500, 0.147).

The value obtained for the volume is 115 Å³ per cell.

***

Which of the structures shown above is the most stable? The most stable is (b).